# 1
Below is a geometry-optimized TaAl2Cr2 structure, with properties calculated at the GGA-PBE level.

Calculated values
Electronic total energy ... -7.53 eV/atom
DOS(E_F) ... 0.7104 states/eV/atom
Magnetic moment ... 3.55 μB per formula unit
Energy above the most stable polymorph in this dataset ... 127.1 meV/atom

a b c (Å): 7.158 7.158 2.907
angles (deg): 90.00 90.00 90.00
Atoms (fractional coordinates):
Cr 0.345 0.845 0.000
Cr 0.845 0.655 0.000
Cr 0.655 0.155 0.000
Cr 0.155 0.345 0.000
Al 0.143 0.643 0.500
Al 0.643 0.857 0.500
Al 0.857 0.357 0.500
Al 0.357 0.143 0.500
Ta 0.000 0.000 0.000
Ta 0.500 0.500 0.000

# 2
Below is a geometry-optimized TaAlCr3 structure, with properties calculated at the GGA-PBE level.

Calculated values
Electronic total energy ... -7.56 eV/atom
DOS(E_F) ... 1.5274 states/eV/atom
Magnetic moment ... 4.82 μB per formula unit
Energy above the most stable polymorph in this dataset ... 0.0 meV/atom

a b c (Å): 4.326 4.326 4.326
angles (deg): 90.00 90.00 90.00
Atoms (fractional coordinates):
Cr 0.000 0.500 0.000
Cr 0.000 0.000 0.500
Cr 0.500 0.000 0.000
Al 0.000 0.000 0.000
Ta 0.500 0.500 0.500

# 3
Below is a geometry-optimized Ta2AlCr structure, with properties calculated at the GGA-PBE level.

Calculated values
Electronic total energy ... -8.69 eV/atom
DOS(E_F) ... 0.8139 states/eV/atom
Magnetic moment ... 0.00 μB per formula unit

a b c (Å): 7.142 7.142 5.728
angles (deg): 51.43 51.43 90.00
Atoms (fractional coordinates):
Cr 0.000 0.000 0.000
Cr 0.750 0.250 0.500
Al 0.500 0.500 0.000
Al 0.250 0.750 0.500
Ta 0.661 0.125 0.250
Ta 0.089 0.625 0.250
Ta 0.375 0.339 0.750
Ta 0.875 0.911 0.750

# 4
Below is a geometry-optimized Ta2AlCr structure, with properties calculated at the GGA-PBE level.

Calculated values
Electronic total energy ... -9.27 eV/atom
DOS(E_F) ... 1.0683 states/eV/atom
Magnetic moment ... 0.00 μB per formula unit

a b c (Å): 4.409 2.821 5.252
angles (deg): 79.31 90.00 90.00
Atoms (fractional coordinates):
Cr 0.500 0.715 0.765
Al 0.000 0.593 0.501
Ta 0.000 0.956 0.976
Ta 0.500 0.237 0.258

# 5
Below is a geometry-optimized TaAlCr3 structure, with properties calculated at the GGA-PBE level.

Calculated values
Electronic total energy ... -7.32 eV/atom
DOS(E_F) ... 0.6619 states/eV/atom
Magnetic moment ... 8.01 μB per formula unit
Energy above the most stable polymorph in this dataset ... 242.7 meV/atom

a b c (Å): 4.678 4.678 4.678
angles (deg): 90.00 90.00 90.00
Atoms (fractional coordinates):
Cr 0.000 0.500 0.000
Cr 0.000 0.000 0.500
Cr 0.500 0.000 0.000
Al 0.500 0.500 0.500
Ta 0.000 0.000 0.000

# 6
Below is a geometry-optimized TaAl2Cr structure, with properties calculated at the GGA-PBE level.

Calculated values
Electronic total energy ... -7.30 eV/atom
DOS(E_F) ... 0.8890 states/eV/atom
Magnetic moment ... 1.61 μB per formula unit
Energy above the most stable polymorph in this dataset ... 65.5 meV/atom

a b c (Å): 2.828 3.967 5.485
angles (deg): 90.00 90.00 90.00
Atoms (fractional coordinates):
Cr 0.500 0.500 0.250
Al 0.000 0.000 0.013
Al 0.000 0.000 0.487
Ta 0.500 0.500 0.750

Which of these has the highest magnetic moment? number 5